Density functional theory data (PBE) for a relaxed structure of DyGaAg2O4.

As for the raw total energy: -0.2124 hartree per atom. The crystal system is trigonal.

Cell and atoms, written as POSCAR:
```
DyGaAg2O4
1.0
3.242 0.000 0.000
-1.621 2.807 0.000
0.000 0.000 12.573
Dy Ga Ag O
1 1 2 4
Cartesian
0.000 0.000 0.000
0.000 0.000 6.287
0.000 1.872 9.315
1.621 0.936 3.258
0.000 1.872 7.216
0.000 1.872 11.393
1.621 0.936 1.180
1.621 0.936 5.357
```